Record 1
SrMg14MnO16: single point on PBEsol structure, meta-GGA SCAN.

```
32
Lattice="4.369 0.000 0.000 0.000 8.587 0.000 0.000 0.000 8.621" Properties=species:S:1:pos:R:3 pbc="T T T"
Sr 0.000 0.000 0.000
Mg 0.000 0.000 4.310
Mg 0.000 2.191 2.216
Mg 0.000 2.191 6.404
Mg 0.000 4.293 4.310
Mg 0.000 6.395 2.216
Mg 0.000 6.395 6.404
Mg 2.185 0.000 2.237
Mg 2.185 0.000 6.384
Mg 2.185 2.158 4.310
Mg 2.185 2.220 0.000
Mg 2.185 4.293 2.178
Mg 2.185 4.293 6.443
Mg 2.185 6.366 0.000
Mg 2.185 6.429 4.310
Mn 0.000 4.293 0.000
O 0.000 0.000 2.339
O 0.000 0.000 6.282
O 0.000 2.171 4.310
O 0.000 2.302 0.000
O 0.000 4.293 2.257
O 0.000 4.293 6.363
O 0.000 6.285 0.000
O 0.000 6.416 4.310
O 2.185 0.000 0.000
O 2.185 0.000 4.310
O 2.185 2.150 2.153
O 2.185 2.150 6.468
O 2.185 4.293 0.000
O 2.185 4.293 4.310
O 2.185 6.437 2.153
O 2.185 6.437 6.468
```

Formation energy without anion corrections ... -2.837 eV/atom
Polymorph energy (0 for the lowest one) ... 0.005 eV per atom
Calculated total energy ... -300.6 eV per cell
SG ... Pmmm

Record 2
BaIr2Rh: single point on PBEsol structure, meta-GGA SCAN.

```
4
Lattice="2.209 1.275 5.565 -2.209 1.275 5.565 0.000 -2.551 5.565" Properties=species:S:1:pos:R:3 pbc="T T T"
Ba 0.000 0.000 0.000
Ir 0.000 0.000 8.284
Ir 0.000 0.000 13.649
Rh 0.000 0.000 3.014
```

E_form ... -132 meV/atom
Polymorph energy (0 for the lowest one) ... 0.000 eV per atom
Calculated total energy ... -216.0 eV per cell
SG ... R3m

Record 3
Cd3CBr: single point on PBEsol structure, meta-GGA SCAN.

```
5
Lattice="5.671 0.000 0.000 0.000 5.671 0.000 0.000 0.000 5.671" Properties=species:S:1:pos:R:3 pbc="T T T"
Cd 0.000 0.000 2.835
Cd 0.000 2.835 0.000
Cd 2.835 0.000 0.000
C 2.835 2.835 2.835
Br 0.000 0.000 0.000
```

Formation energy without anion corrections ... 1.824 eV/atom
Calculated total energy ... -111.7 eV per cell
SG ... Pm-3m

Record 4
Ba2CaTl: single point on PBEsol structure, meta-GGA SCAN.

```
4
Lattice="4.033 0.000 0.000 0.000 4.033 0.000 0.000 0.000 10.489" Properties=species:S:1:pos:R:3 pbc="T T T"
Ba 0.000 0.000 0.000
Ba 2.017 2.017 3.586
Ca 0.000 0.000 6.641
Tl 2.017 2.017 8.248
```

E_form ... -296 meV/atom
Polymorph energy (0 for the lowest one) ... 0.024 eV per atom
Calculated total energy ... -162.3 eV per cell
SG ... P4mm

Record 5
TlCdHg4: single point on PBEsol structure, meta-GGA SCAN.

```
6
Lattice="0.000 4.213 4.213 4.213 0.000 4.213 4.213 4.213 0.000" Properties=species:S:1:pos:R:3 pbc="T T T"
Tl 0.000 0.000 0.000
Cd 6.319 6.319 6.319
Hg 3.161 3.161 3.161
Hg 5.265 5.265 3.161
Hg 5.265 3.161 5.265
Hg 3.161 5.265 5.265
```

E_form ... 100 meV/atom
Calculated total energy ... -374.8 eV per cell
SG ... F-43m

Record 6
AgSb2Ru: single point on PBEsol structure, meta-GGA SCAN.

```
4
Lattice="1.643 0.949 8.376 -1.643 0.949 8.376 0.000 -1.897 8.376" Properties=species:S:1:pos:R:3 pbc="T T T"
Ag 0.000 0.000 0.000
Sb 0.000 0.000 6.091
Sb 0.000 0.000 19.036
Ru 0.000 0.000 12.564
```

Formation energy without anion corrections ... 0.107 eV/atom
Calculated total energy ... -140.3 eV per cell
SG ... R-3m

Please write out number 2 again, unchanged.
BaIr2Rh: single point on PBEsol structure, meta-GGA SCAN.

```
4
Lattice="2.209 1.275 5.565 -2.209 1.275 5.565 0.000 -2.551 5.565" Properties=species:S:1:pos:R:3 pbc="T T T"
Ba 0.000 0.000 0.000
Ir 0.000 0.000 8.284
Ir 0.000 0.000 13.649
Rh 0.000 0.000 3.014
```

E_form ... -132 meV/atom
Polymorph energy (0 for the lowest one) ... 0.000 eV per atom
Calculated total energy ... -216.0 eV per cell
SG ... R3m